DyGaRu2C after structural relaxation. Source: Alexandria via LeMat-Bulk, functional PBE.

POSCAR file:
```
DyGaRu2C
1.0
1.953 -5.565 0.000
1.953 5.565 0.000
0.000 0.000 7.330
Dy Ga Ru C
2 2 4 2
direct
0.045 0.955 0.750
0.955 0.045 0.250
0.232 0.768 0.250
0.768 0.232 0.750
0.337 0.663 0.557
0.337 0.663 0.943
0.663 0.337 0.057
0.663 0.337 0.443
0.500 0.500 0.000
0.500 0.500 0.500
```

Values from the calculation:
Energy relative to the elements: -1.912 eV/f.u.
Calculated total energy: -7.463 eV per atom
Space group: Cmcm, No. 63
Magnetization: 0.00 μB/f.u.
Volume: 80 Å³/f.u.